The following is a PBE calculation of an optimized crystal structure of LaErGa, from the Alexandria database.

abc: 5.0703 5.0703 5.0703
angles: 60.00 60.00 60.00
With the nearest neighbours (Å) after each atom.
Atoms (fractional coordinates):
1 La 0.5000 0.5000 0.5000  4 Ga 3.10
2 Ga 0.2500 0.2500 0.2500  4 La 3.10, 4 Er 3.10
3 Er 0.0000 0.0000 0.0000  4 Ga 3.10

Results
**Calculated total energy**: -13.25 eV per cell
**ΔH_f (0 K)**: -0.244 eV/atom
**Energy relative to the lowest polymorph listed for this composition**: 150.8 meV/atom